First-principles (PBE with a Hubbard U) data for a relaxed RbBa2CrO4 crystal, as listed in Alexandria.

Computed properties:
Total DFT energy (no corrections) ... -48.2 eV/f.u.
Mass density ... 4.6 g/cm³
Size of the total moment ... 6.00 Bohr magnetons per cell
Symmetry ... Cmcm (63)
Crystal system ... orthorhombic

Cell lengths 7.100, 7.100, 13.025 Å; angles 90.00, 90.00, 148.38 degrees
Positions (direct):
Rb1 0.111 0.889 0.750
Rb2 0.889 0.111 0.250
Ba1 0.371 0.629 0.536
Ba2 0.371 0.629 0.964
Ba3 0.629 0.371 0.036
Ba4 0.629 0.371 0.464
Cr1 0.185 0.815 0.250
Cr2 0.815 0.185 0.750
O1 0.000 0.000 0.000
O2 0.000 0.000 0.500
O3 0.254 0.746 0.126
O4 0.254 0.746 0.374
O5 0.364 0.636 0.750
O6 0.636 0.364 0.250
O7 0.746 0.254 0.626
O8 0.746 0.254 0.874